(1)
An optimized crystal structure of MgTlHg2. Source: Alexandria via LeMat-Bulk, functional PBE.

Results
* volume: 25.60 Å³/atom
* theoretical density: 10.21 g/cm³
* total magnetic moment: 0.0 Bohr magnetons per cell
* DFT formation energy: -0.033 eV per atom

Cell lengths 5.0098, 5.0230, 8.1396 Å; angles 90.00, 90.00, 90.00 degrees
Space group Cmm2 (No. 35)
Unique sites:
1 Mg 0.0000 0.0000 0.0000 [2 per cell]
2 Tl 0.0000 0.5000 0.2691 [2 per cell]
3 Hg 0.0000 0.0000 0.5414 [2 per cell]
4 Hg 0.0000 0.5000 0.7942 [2 per cell]

=====

(2)
An optimized crystal structure of Mg5TlHg3. Source: Alexandria via LeMat-Bulk, functional PBE.

Results
* volume: 22.50 Å³/atom
* theoretical density: 7.61 g/cm³
* total magnetic moment: 0.0 Bohr magnetons per cell
* DFT formation energy: -0.162 eV per atom

Cell lengths 8.6440, 8.6440, 6.2581 Å; angles 90.00, 90.00, 120.00 degrees
Space group P6_3/mcm (No. 193)
Unique sites:
1 Mg 0.0000 0.3090 0.2500 [6 per cell]
2 Mg 0.3333 0.6667 0.0000 [4 per cell]
3 Tl 0.0000 0.0000 0.0000 [2 per cell]
4 Hg 0.0000 0.3674 0.7500 [6 per cell]

=====

(3)
An optimized crystal structure of MgTl2Hg6. Source: Alexandria via LeMat-Bulk, functional PBE.

Results
* volume: 27.70 Å³/atom
* theoretical density: 10.90 g/cm³
* total magnetic moment: 0.0 Bohr magnetons per cell
* E above lowest polymorph: 19 meV/atom
* DFT formation energy: -0.007 eV per atom

Cell lengths 7.1953, 7.1953, 5.5594 Å; angles 90.00, 90.00, 120.00 degrees
Space group P-3m1 (No. 164)
Unique sites:
1 Mg 0.0000 0.0000 0.0000 [1 per cell]
2 Tl 0.3333 0.6667 0.1884 [2 per cell]
3 Hg 0.1835 0.3669 0.6967 [6 per cell]

=====

(4)
An optimized crystal structure of Mg10Tl3Hg3. Source: Alexandria via LeMat-Bulk, functional PBE.

Results
* volume: 23.34 Å³/atom
* theoretical density: 6.48 g/cm³
* total magnetic moment: 0.0 Bohr magnetons per cell
* DFT formation energy: -0.108 eV per atom

Cell lengths 8.4449, 8.4449, 6.0465 Å; angles 90.00, 90.00, 120.00 degrees
Space group P-62m (No. 189)
Unique sites:
1 Mg 0.0000 0.2346 0.0000 [3 per cell]
2 Mg 0.0000 0.7635 0.5000 [3 per cell]
3 Mg 0.3333 0.6667 0.2560 [4 per cell]
4 Tl 0.0000 0.6031 0.0000 [3 per cell]
5 Hg 0.0000 0.3910 0.5000 [3 per cell]